[1]
MoPt2Au: PBEsol geometry, SCAN.

Cell: 2.7878 2.7878 7.9425 Å, 90.00 90.00 90.00°
Last column: nearest neighbours and their distance in Å.
Positions (direct):
Mo 0.0000 0.0000 0.0000  8 Pt 2.70, 4 Mo 2.79
Pt 0.5000 0.5000 0.2328  4 Mo 2.70, 4 Pt 2.79, 4 Au 2.90
Pt 0.5000 0.5000 0.7672  4 Mo 2.70, 4 Pt 2.79, 4 Au 2.90
Au 0.0000 0.0000 0.5000  4 Au 2.79, 8 Pt 2.90

- energy of formation (eV per atom) = -0.28
- E_tot (eV per atom) = -61.38
- polymorph energy (0 for the lowest one) (meV/atom) = 0

---

[2]
SiPd2C: PBEsol geometry, SCAN.

Cell: 6.4032 6.4032 6.4032 Å, 136.37 136.37 63.40°
Last column: nearest neighbours and their distance in Å.
Positions (direct):
Si 0.0000 0.0000 0.0000  4 Pd 2.38
Si 0.7500 0.2500 0.5000  4 Pd 2.38
Pd 0.2002 0.6250 0.0752  2 C 1.99
Pd 0.3750 0.4502 0.5752  2 C 1.99
Pd 0.5498 0.1250 0.9248  2 C 1.99
Pd 0.8750 0.7998 0.4248  2 C 1.99
C 0.2500 0.7500 0.5000  4 Pd 1.99
C 0.5000 0.5000 0.0000  4 Pd 1.99

- uncorrected formation energy (eV per atom) = 0.501
- E_tot (eV per atom) = -20.91

---

[3]
TcIr2Pt: PBEsol geometry, SCAN.

Cell: 2.7017 2.7017 7.7861 Å, 90.00 90.00 90.00°
Last column: nearest neighbours and their distance in Å.
Positions (direct):
Tc 0.0000 0.0000 0.0000  4 Ir 2.67, 4 Tc 2.70, 4 Pt 2.73
Ir 0.0000 0.0000 0.4883  8 Ir 2.70-2.72, 4 Pt 2.79
Ir 0.5000 0.5000 0.2402  4 Tc 2.67, 8 Ir 2.70-2.72
Pt 0.5000 0.5000 0.7495  4 Pt 2.70, 4 Tc 2.73, 4 Ir 2.79

- energy of formation (eV per atom) = -0.10
- E_tot (eV per atom) = -61.96
- polymorph energy (0 for the lowest one) (meV/atom) = 55

---

[4]
ZrTlFe2: PBEsol geometry, SCAN.

Cell: 3.0755 3.0755 6.8866 Å, 90.00 90.00 90.00°
Last column: nearest neighbours and their distance in Å.
Positions (direct):
Zr 0.0000 0.0000 0.0000  5 Fe 2.74-2.81
Tl 0.5000 0.5000 0.6647  5 Fe 2.80-2.91, 4 Tl 3.08
Fe 0.0000 0.0000 0.4083  4 Fe 2.46
Fe 0.5000 0.5000 0.2422  4 Fe 2.46, 4 Zr 2.74

- energy of formation (eV per atom) = 0.06
- E_tot (eV per atom) = -34.77

---

[5]
BeNiCl: PBEsol geometry, SCAN.

Cell: 3.8100 3.8100 3.8100 Å, 60.00 60.00 60.00°
Last column: nearest neighbours and their distance in Å.
Positions (direct):
Be 0.0000 0.0000 0.0000  4 Cl 2.33, 4 Ni 2.33
Ni 0.7500 0.7500 0.7500  4 Be 2.33
Cl 0.2500 0.2500 0.2500  4 Be 2.33

- uncorrected formation energy (eV per atom) = 0.727
- E_tot (eV per atom) = -8.77
- polymorph energy (0 for the lowest one) (meV/atom) = 729

---

[6]
Mg2TlF: PBEsol geometry, SCAN.

Cell: 4.7991 4.7991 4.7991 Å, 60.00 60.00 60.00°
Last column: nearest neighbours and their distance in Å.
Positions (direct):
Mg 0.2500 0.2500 0.2500  4 F 2.94, 4 Tl 2.94
Mg 0.7500 0.7500 0.7500  4 Tl 2.94, 4 F 2.94
Tl 0.0000 0.0000 0.0000  8 Mg 2.94
F 0.5000 0.5000 0.5000  8 Mg 2.94

- uncorrected formation energy (eV per atom) = -0.722
- E_tot (eV per atom) = -22.18

---

[7]
La2ScP: PBEsol geometry, SCAN.

Cell: 8.5933 8.5933 8.5933 Å, 156.00 154.88 35.01°
Last column: nearest neighbours and their distance in Å.
Positions (direct):
La 0.1658 0.1658 0.0000  2 P 3.25, 2 Sc 3.30, 2 La 3.57
La 0.8342 0.8342 0.0000  2 P 3.25, 2 Sc 3.30, 2 La 3.57
Sc 0.5000 0.0000 0.5000  4 P 2.58
P 0.0000 0.5000 0.5000  4 Sc 2.58

- energy of formation (eV per atom) = -0.61
- E_tot (eV per atom) = -28.33

---

[8]
CaHg3Mo: PBEsol geometry, SCAN.

Cell: 5.1765 5.1765 5.1765 Å, 90.00 90.00 90.00°
Last column: nearest neighbours and their distance in Å.
Positions (direct):
Ca 0.0000 0.0000 0.0000  12 Hg 3.66
Hg 0.0000 0.5000 0.5000  2 Mo 2.59
Hg 0.5000 0.0000 0.5000  2 Mo 2.59
Hg 0.5000 0.5000 0.0000  2 Mo 2.59
Mo 0.5000 0.5000 0.5000  6 Hg 2.59

- energy of formation (eV per atom) = 0.35
- E_tot (eV per atom) = -49.46

---

Which value of E_tot does entry 3 give?
-61.96 eV per atom

---

What did the fifth record say?
BeNiCl: PBEsol geometry, SCAN.

Cell: 3.8100 3.8100 3.8100 Å, 60.00 60.00 60.00°
Last column: nearest neighbours and their distance in Å.
Positions (direct):
Be 0.0000 0.0000 0.0000  4 Cl 2.33, 4 Ni 2.33
Ni 0.7500 0.7500 0.7500  4 Be 2.33
Cl 0.2500 0.2500 0.2500  4 Be 2.33

- uncorrected formation energy (eV per atom) = 0.727
- E_tot (eV per atom) = -8.77
- polymorph energy (0 for the lowest one) (meV/atom) = 729

---

Please write out number 8 again, unchanged.
CaHg3Mo: PBEsol geometry, SCAN.

Cell: 5.1765 5.1765 5.1765 Å, 90.00 90.00 90.00°
Last column: nearest neighbours and their distance in Å.
Positions (direct):
Ca 0.0000 0.0000 0.0000  12 Hg 3.66
Hg 0.0000 0.5000 0.5000  2 Mo 2.59
Hg 0.5000 0.0000 0.5000  2 Mo 2.59
Hg 0.5000 0.5000 0.0000  2 Mo 2.59
Mo 0.5000 0.5000 0.5000  6 Hg 2.59

- energy of formation (eV per atom) = 0.35
- E_tot (eV per atom) = -49.46

---

Which of these has the highest E_tot?
BeNiCl